[1]
Computed, not measured: a relaxed structure of Pr2SiS5 at the GGA-PBEsol level of DFT.

Values from the calculation:
* E: -6.36 eV/atom
* crystal system: monoclinic

a b c (Å): 7.474 12.446 7.734
angles (deg): 90.00 101.25 90.00
Fractional positions:
Pr1 0.162 0.165 0.133
Pr2 0.162 0.335 0.633
Pr3 0.239 0.596 0.041
Pr4 0.239 0.904 0.541
Pr5 0.761 0.096 0.459
Pr6 0.761 0.404 0.959
Pr7 0.838 0.665 0.367
Pr8 0.838 0.835 0.867
Si1 0.332 0.617 0.594
Si2 0.332 0.883 0.094
Si3 0.668 0.117 0.906
Si4 0.668 0.383 0.406
S1 0.125 0.704 0.695
S2 0.125 0.796 0.195
S3 0.141 0.121 0.499
S4 0.141 0.379 0.999
S5 0.172 0.528 0.384
S6 0.172 0.972 0.884
S7 0.423 0.003 0.282
S8 0.423 0.497 0.782
S9 0.472 0.230 0.951
S10 0.472 0.270 0.451
S11 0.528 0.730 0.549
S12 0.528 0.770 0.049
S13 0.577 0.503 0.218
S14 0.577 0.997 0.718
S15 0.828 0.028 0.116
S16 0.828 0.472 0.616
S17 0.859 0.621 0.001
S18 0.859 0.879 0.501
S19 0.875 0.204 0.805
S20 0.875 0.296 0.305


[2]
Computed, not measured: a relaxed structure of Pr4Si3S12 at the GGA-PBEsol level of DFT.

Values from the calculation:
* E: -6.23 eV/atom
* crystal system: trigonal

a b c (Å): 11.288 11.288 11.288
angles (deg): 114.74 114.74 114.74
Fractional positions:
Pr1 0.000 0.000 0.000
Pr2 0.209 0.435 0.974
Pr3 0.435 0.974 0.209
Pr4 0.474 0.935 0.709
Pr5 0.500 0.500 0.500
Pr6 0.709 0.474 0.935
Pr7 0.935 0.709 0.474
Pr8 0.974 0.209 0.435
Si1 0.138 0.967 0.352
Si2 0.352 0.138 0.967
Si3 0.467 0.638 0.852
Si4 0.638 0.852 0.467
Si5 0.852 0.467 0.638
Si6 0.967 0.352 0.138
S1 0.077 0.617 0.343
S2 0.085 0.800 0.117
S3 0.117 0.085 0.800
S4 0.117 0.577 0.843
S5 0.186 0.376 0.190
S6 0.190 0.186 0.376
S7 0.284 0.889 0.820
S8 0.300 0.585 0.617
S9 0.320 0.389 0.784
S10 0.343 0.077 0.617
S11 0.376 0.190 0.186
S12 0.389 0.784 0.320
S13 0.577 0.843 0.117
S14 0.585 0.617 0.300
S15 0.617 0.300 0.585
S16 0.617 0.343 0.077
S17 0.686 0.690 0.876
S18 0.690 0.876 0.686
S19 0.784 0.320 0.389
S20 0.800 0.117 0.085
S21 0.820 0.284 0.889
S22 0.843 0.117 0.577
S23 0.876 0.686 0.690
S24 0.889 0.820 0.284


[3]
Computed, not measured: a relaxed structure of PrSm3S4 at the GGA-PBEsol level of DFT.

Values from the calculation:
* E: -6.87 eV/atom
* crystal system: trigonal

a b c (Å): 13.274 13.274 13.274
angles (deg): 17.17 17.17 17.17
Fractional positions:
Pr1 0.000 0.000 0.000
Sm1 0.249 0.249 0.249
Sm2 0.500 0.500 0.500
Sm3 0.751 0.751 0.751
S1 0.126 0.126 0.126
S2 0.377 0.377 0.377
S3 0.623 0.623 0.623
S4 0.874 0.874 0.874


[4]
Computed, not measured: a relaxed structure of Pr2ThS5 at the GGA-PBEsol level of DFT.

Values from the calculation:
* E: -7.16 eV/atom
* crystal system: orthorhombic

a b c (Å): 11.904 8.192 7.503
angles (deg): 90.00 90.00 90.00
Fractional positions:
Pr1 0.177 0.000 0.022
Pr2 0.177 0.500 0.022
Pr3 0.323 0.000 0.522
Pr4 0.323 0.500 0.522
Pr5 0.677 0.000 0.478
Pr6 0.677 0.500 0.478
Pr7 0.823 0.000 0.978
Pr8 0.823 0.500 0.978
Th1 0.010 0.250 0.577
Th2 0.490 0.750 0.077
Th3 0.510 0.250 0.923
Th4 0.990 0.750 0.423
S1 0.001 0.250 0.960
S2 0.099 0.545 0.664
S3 0.099 0.955 0.664
S4 0.187 0.250 0.328
S5 0.218 0.750 0.300
S6 0.282 0.250 0.800
S7 0.313 0.750 0.828
S8 0.401 0.045 0.164
S9 0.401 0.455 0.164
S10 0.499 0.750 0.460
S11 0.501 0.250 0.540
S12 0.599 0.545 0.836
S13 0.599 0.955 0.836
S14 0.687 0.250 0.172
S15 0.718 0.750 0.200
S16 0.782 0.250 0.700
S17 0.813 0.750 0.672
S18 0.901 0.045 0.336
S19 0.901 0.455 0.336
S20 0.999 0.750 0.040